First-principles (PBE) data for a relaxed Tm5Sb2Pt crystal, as listed in Alexandria via LeMat-Bulk.

Structure (POSCAR):
```
Tm5Sb2Pt
1.0
5.481 0.000 0.000
-2.741 7.643 0.000
0.000 0.000 13.540
Tm Sb Pt
10 4 2
Cartesian
2.741 6.509 11.959
2.741 6.509 8.351
0.000 4.513 5.879
0.000 4.513 0.891
2.741 3.397 3.385
0.000 4.247 10.155
2.741 3.130 7.661
2.741 3.130 12.648
0.000 1.135 1.581
0.000 1.135 5.189
2.741 5.736 5.481
2.741 5.736 1.289
0.000 1.908 8.059
0.000 1.908 12.251
2.741 4.507 10.155
0.000 3.136 3.385
```

- space group = No. 63
- energy relative to the elements, uncorrected (eV per formula unit) = -3.86
- energy above the most stable polymorph in this dataset (meV/atom) = 440.6